! Ho5Co2Bi | Alexandria | meta-GGA SCAN | single point on PBEsol structure; values from VASP
&SYSTEM
  ibrav = 0, nat = 16, ntyp = 3
/
ATOMIC_SPECIES
Ho 164.93 Ho.upf
Co 58.93 Co.upf
Bi 208.98 Bi.upf
CELL_PARAMETERS angstrom
-3.718 3.718 6.753
3.718 -3.718 6.753
3.718 3.718 -6.753
ATOMIC_POSITIONS crystal
Ho 0.000 0.000 0.000
Ho 0.029 0.529 0.815
Ho 0.213 0.029 0.500
Ho 0.287 0.787 0.815
Ho 0.471 0.287 0.500
Ho 0.500 0.500 0.000
Ho 0.529 0.713 0.500
Ho 0.713 0.213 0.185
Ho 0.787 0.971 0.500
Ho 0.971 0.471 0.185
Co 0.136 0.364 0.500
Co 0.364 0.864 0.227
Co 0.636 0.136 0.773
Co 0.864 0.636 0.500
Bi 0.250 0.250 0.000
Bi 0.750 0.750 0.000
! ΔH_f (0 K): -34 kJ/mol of atoms
! Calculated density: 10.244 Mg/m³